[1]
LiEr2Ga3Ni4 after structural relaxation, computed with PBE-GGA.

VASP energy   -4.81 eV/atom

a = 3.7805 Å, b = 3.7805 Å, c = 11.1682 Å
α = 90.00°, β = 90.00°, γ = 90.00°
Atoms (fractional coordinates):
Li 0.0000 0.0000 0.0000
Er 0.0000 0.5000 0.7570
Er 0.5000 0.0000 0.2430
Ga 0.0000 0.5000 0.3687
Ga 0.5000 0.0000 0.6313
Ga 0.5000 0.5000 0.0000
Ni 0.0000 0.0000 0.5000
Ni 0.0000 0.5000 0.1516
Ni 0.5000 0.0000 0.8484
Ni 0.5000 0.5000 0.5000

***

[2]
LaCu2W after structural relaxation, computed with PBE-GGA.

Excess energy over the best structure of this formula in the dataset   1.808 eV per formula unit

a = 4.7344 Å, b = 4.7344 Å, c = 4.7344 Å
α = 60.00°, β = 60.00°, γ = 60.00°
Atoms (fractional coordinates):
La 0.0000 0.0000 0.0000
Cu 0.2500 0.2500 0.2500
Cu 0.5000 0.5000 0.5000
W 0.7500 0.7500 0.7500

***

[3]
PmMgBiPd after structural relaxation, computed with PBE-GGA.

VASP energy   -4.38 eV/atom

a = 5.1588 Å, b = 5.1588 Å, c = 5.1588 Å
α = 60.00°, β = 60.00°, γ = 60.00°
Atoms (fractional coordinates):
Pm 0.0000 0.0000 0.0000
Mg 0.5000 0.5000 0.5000
Bi 0.2500 0.2500 0.2500
Pd 0.7500 0.7500 0.7500

***

[4]
SrRu2C3 after structural relaxation, computed with PBE-GGA.

VASP energy   -7.79 eV/atom

a = 6.1156 Å, b = 6.1156 Å, c = 5.3746 Å
α = 90.00°, β = 90.00°, γ = 109.25°
Atoms (fractional coordinates):
Sr 0.2218 0.7782 0.7500
Sr 0.7782 0.2218 0.2500
Ru 0.3058 0.3058 0.0000
Ru 0.3058 0.3058 0.5000
Ru 0.6942 0.6942 0.0000
Ru 0.6942 0.6942 0.5000
C 0.0456 0.1453 0.7500
C 0.1453 0.0456 0.2500
C 0.4393 0.5607 0.2500
C 0.5607 0.4393 0.7500
C 0.8547 0.9544 0.7500
C 0.9544 0.8547 0.2500

***

[5]
Ac3BiO after structural relaxation, computed with PBE-GGA.

VASP energy   -5.51 eV/atom

a = 5.3263 Å, b = 5.3263 Å, c = 5.3263 Å
α = 90.00°, β = 90.00°, γ = 90.00°
Atoms (fractional coordinates):
Ac 0.0000 0.0000 0.5000
Ac 0.0000 0.5000 0.0000
Ac 0.5000 0.0000 0.0000
Bi 0.5000 0.5000 0.5000
O 0.0000 0.0000 0.0000

***

[6]
GeAs after structural relaxation, computed with PBE-GGA.

VASP energy   -4.42 eV/atom

a = 11.1830 Å, b = 11.1830 Å, c = 4.4687 Å
α = 90.00°, β = 90.00°, γ = 90.00°
Atoms (fractional coordinates):
Ge 0.0786 0.3817 0.0000
Ge 0.1087 0.7199 0.5000
Ge 0.2801 0.1087 0.5000
Ge 0.3817 0.9214 0.0000
Ge 0.6183 0.0786 0.0000
Ge 0.7199 0.8913 0.5000
Ge 0.8913 0.2801 0.5000
Ge 0.9214 0.6183 0.0000
As 0.1180 0.2695 0.5000
As 0.1535 0.6034 0.0000
As 0.2695 0.8820 0.5000
As 0.3966 0.1535 0.0000
As 0.6034 0.8465 0.0000
As 0.7305 0.1180 0.5000
As 0.8465 0.3966 0.0000
As 0.8820 0.7305 0.5000